Entry from Alexandria via LeMat-Bulk: an optimized crystal structure of NaSrC2 (GGA-PBE).

Computed properties:
ΔH_f (0 K): 38.825 kcal/mol of atoms
energy above the lowest structure with this stoichiometry: 0.000 eV/atom
final energy: -3.6785 eV per atom
ρ: 3.43 g/cm³

Cell: 6.389 6.389 6.389 Å, 90.00 90.00 90.00°
Space group Fm-3m (No. 225)
Symmetry-distinct sites (fractional):
Na 0.000 0.000 0.000 (multiplicity 4)
Sr 0.000 0.000 0.500 (multiplicity 4)
C 0.250 0.250 0.250 (multiplicity 8)

Entry from Alexandria via LeMat-Bulk: an optimized crystal structure of Pr2AgP3Pt12 (GGA-PBE).

Computed properties:
ΔH_f (0 K): -7.910 kcal/mol of atoms
final energy: -5.9613 eV per atom
ρ: 13.10 g/cm³

Cell: 8.3431 8.3431 17.8117 Å, 90.00 90.00 120.00°
Space group R-3m (No. 166, hexagonal axes)
Symmetry-distinct sites (fractional):
Pr 0.0000 0.0000 0.1089 (multiplicity 6)
Ag 0.0000 0.0000 0.5000 (multiplicity 3)
P 0.0000 0.5000 0.0000 (multiplicity 9)
Pt 0.0105 0.5053 0.8729 (multiplicity 18)
Pt 0.0380 0.5190 0.3594 (multiplicity 18)

Entry from Alexandria via LeMat-Bulk: an optimized crystal structure of LiNdTl (GGA-PBE).

Computed properties:
ΔH_f (0 K): -2.074 kcal/mol of atoms
energy above the lowest structure with this stoichiometry: 0.198 eV/atom
final energy: -3.1059 eV per atom
ρ: 7.43 g/cm³

Cell: 6.825 6.825 6.825 Å, 90.00 90.00 90.00°
Space group F-43m (No. 216)
Symmetry-distinct sites (fractional):
Li 0.000 0.000 0.000 (multiplicity 4)
Nd 0.250 0.250 0.250 (multiplicity 4)
Tl 0.250 0.250 0.750 (multiplicity 4)

Entry from Alexandria via LeMat-Bulk: an optimized crystal structure of ThTlAgBr6 (GGA-PBE).

Computed properties:
E_form (uncorrected): -1.24 eV per atom
final energy: -3.7567 eV per atom
ρ: 4.85 g/cm³

Cell: 7.3841 7.3841 14.8383 Å, 90.00 90.00 120.00°
Space group P-31c (No. 163)
Symmetry-distinct sites (fractional):
Th 0.3333 0.6667 0.2500 (multiplicity 2)
Tl 0.0000 0.0000 0.0000 (multiplicity 2)
Ag 0.3333 0.6667 0.7500 (multiplicity 2)
Br 0.0065 0.3649 0.1375 (multiplicity 12)